## MnGa2SbO8 (PBE+U)

Data for crystalline MnGa2SbO8 at its relaxed geometry.

Raw total energy = -74.4 eV for the cell shown
Magnetization = 2.18 Bohr magnetons per cell
DOS(E_F) = 5.07 states/eV/cell

a b c (Å): 4.6116 4.6085 6.0745
angles (deg): 90.00 90.00 91.38
With the nearest neighbours (Å) after each atom.
Fractional positions:
Ga 0.5000 0.5000 0.7476  6 O 1.97-2.03
Ga 0.5000 0.5000 0.2524  6 O 1.97-2.03
O 0.7002 0.7011 0.5000  1 Mn 1.93, 2 Ga 1.98
O 0.1917 0.8073 0.7409  1 Mn 1.94, 1 Sb 2.02, 1 Ga 2.03
O 0.3084 0.3075 0.0000  2 Ga 1.97, 1 Sb 1.98
O 0.8082 0.1927 0.7409  1 Mn 1.94, 1 Sb 2.02, 1 Ga 2.03
O 0.8083 0.1927 0.2591  1 Mn 1.94, 1 Sb 2.02, 1 Ga 2.03
O 0.6916 0.6925 0.0000  2 Ga 1.97, 1 Sb 1.98
O 0.2998 0.2989 0.5000  1 Mn 1.93, 2 Ga 1.98
O 0.1918 0.8073 0.2591  1 Mn 1.94, 1 Sb 2.02, 1 Ga 2.03
Mn 0.0000 0.0000 0.5000  6 O 1.93-1.94
Sb 0.0000 0.0000 0.0000  6 O 1.98-2.02



## Sc2MnGaO6 (PBE+U)

Data for crystalline Sc2MnGaO6 at its relaxed geometry.

Raw total energy = -77.5 eV for the cell shown
Magnetization = 2.00 Bohr magnetons per cell
DOS(E_F) = 0.00 states/eV/cell

a b c (Å): 5.2079 5.2016 5.5207
angles (deg): 61.75 61.92 60.01
With the nearest neighbours (Å) after each atom.
Fractional positions:
O 0.9380 0.6026 0.2597  1 Ga 1.96, 1 Mn 2.05, 1 Sc 2.09
O 0.6032 0.2008 0.2581  1 Ga 1.96, 1 Mn 2.04, 1 Sc 2.08
O 0.7002 0.0993 0.7594  1 Mn 1.99, 2 Sc 2.06-2.17, 1 Ga 2.12
O 0.1013 0.4399 0.7588  1 Mn 2.00, 2 Sc 2.06-2.17, 1 Ga 2.11
O 0.4415 0.7020 0.7582  1 Mn 1.98, 2 Sc 2.07-2.18, 1 Ga 2.13
O 0.1995 0.9370 0.2594  1 Ga 1.96, 1 Mn 2.04, 1 Sc 2.09
Sc 0.0269 0.0282 0.9159  6 O 2.06-2.23
Sc 0.5232 0.5211 0.4334  6 O 2.08-2.18
Mn 0.8175 0.8195 0.5450  6 O 1.98-2.05
Ga 0.3102 0.3111 0.0672  6 O 1.96-2.13



## ScMn2GaO6 (PBE+U)

Data for crystalline ScMn2GaO6 at its relaxed geometry.

Raw total energy = -72.6 eV for the cell shown
Magnetization = 4.00 Bohr magnetons per cell

a b c (Å): 5.1153 5.1105 5.4485
angles (deg): 62.18 61.78 59.85
With the nearest neighbours (Å) after each atom.
Fractional positions:
O 0.6162 0.2306 0.2378  1 Ga 1.96, 2 Mn 2.01-2.02
O 0.1324 0.3955 0.7482  2 Mn 1.98-2.03, 1 Sc 2.05, 1 Ga 2.11
O 0.3936 0.7259 0.7486  2 Mn 1.96-2.03, 1 Sc 2.05, 1 Ga 2.12
O 0.7229 0.1349 0.7477  2 Mn 1.99-2.03, 1 Sc 2.05, 1 Ga 2.08
O 0.2336 0.9122 0.2392  1 Ga 1.96, 2 Mn 2.00-2.04
O 0.9129 0.6153 0.2386  1 Ga 1.96, 2 Mn 1.99-2.04
Sc 0.8076 0.8076 0.5768  6 O 2.05-2.21
Mn 0.0138 0.0142 0.9584  6 O 1.96-2.04
Mn 0.5162 0.5167 0.4530  6 O 1.99-2.03
Ga 0.3124 0.3086 0.0669  6 O 1.96-2.12



## MnGaSe2O8 (PBE+U)

Data for crystalline MnGaSe2O8 at its relaxed geometry.

Raw total energy = -67.2 eV for the cell shown
Magnetization = 4.70 Bohr magnetons per cell
DOS(E_F) = 3.02 states/eV/cell

a b c (Å): 5.7532 5.7532 5.7532
angles (deg): 107.89 107.89 112.69
With the nearest neighbours (Å) after each atom.
Fractional positions:
O 0.8829 0.6843 0.1987  1 Se 1.79
O 0.4856 0.6843 0.8013  1 Se 1.79
O 0.3157 0.1171 0.8013  1 Se 1.79
O 0.9234 0.2372 0.3138  1 Se 1.68
O 0.3157 0.5144 0.1987  1 Se 1.79
O 0.3904 0.0766 0.3138  1 Se 1.68
O 0.9234 0.6096 0.6862  1 Se 1.68
O 0.7628 0.0766 0.6862  1 Se 1.68
Ga 0.2500 0.7500 0.5000  4 O 2.08
Se 0.5000 0.5000 0.0000  4 O 1.79
Se 0.7500 0.2500 0.5000  4 O 1.68
Mn 0.0000 0.0000 0.0000  8 O 2.18-2.42



## MnGaSi2O6 (PBE+U)

Data for crystalline MnGaSi2O6 at its relaxed geometry.

Raw total energy = -146.0 eV for the cell shown
Magnetization = 11.71 Bohr magnetons per cell
DOS(E_F) = 4.60 states/eV/cell

a b c (Å): 5.4531 6.8675 6.8675
angles (deg): 85.42 76.23 76.23
With the nearest neighbours (Å) after each atom.
Fractional positions:
Si 0.2706 0.7962 0.6225  4 O 1.63-1.66
Si 0.2294 0.3775 0.2038  4 O 1.63-1.66
Si 0.7706 0.6225 0.7962  4 O 1.63-1.66
Si 0.7294 0.2038 0.3775  4 O 1.63-1.66
O 0.9722 0.3156 0.3553  2 Si 1.65-1.66
O 0.1642 0.9792 0.7878  1 Si 1.66
O 0.3358 0.2122 0.0208  1 Si 1.66
O 0.4722 0.3553 0.3156  2 Si 1.65-1.66
O 0.8358 0.0208 0.2122  1 Si 1.66
O 0.6419 0.1297 0.6096  1 Si 1.63
O 0.8581 0.3904 0.8703  1 Si 1.63
O 0.6642 0.7878 0.9792  1 Si 1.66
O 0.3581 0.8703 0.3904  1 Si 1.63
O 0.1419 0.6096 0.1297  1 Si 1.63
O 0.0278 0.6844 0.6447  2 Si 1.65-1.66
O 0.5278 0.6447 0.6844  2 Si 1.65-1.66
Ga 0.2500 0.2555 0.7445  4 O 2.04-2.12
Ga 0.7500 0.7445 0.2555  4 O 2.04-2.12
Mn 0.2500 0.8934 0.1066  6 O 2.15-2.35
Mn 0.7500 0.1066 0.8934  6 O 2.15-2.35



## MnGa2SiO6 (PBE+U)

Data for crystalline MnGa2SiO6 at its relaxed geometry.

Raw total energy = -68.7 eV for the cell shown
Magnetization = 5.00 Bohr magnetons per cell
DOS(E_F) = 0.00 states/eV/cell

a b c (Å): 5.0235 5.0234 5.3944
angles (deg): 62.25 62.25 60.00
With the nearest neighbours (Å) after each atom.
Fractional positions:
O 0.9500 0.5745 0.2344  1 Si 1.82, 1 Ga 1.96
O 0.2412 0.9500 0.2344  1 Si 1.82, 1 Ga 1.96
O 0.1411 0.3857 0.7741  1 Si 1.83, 1 Ga 1.92
O 0.3857 0.6991 0.7741  1 Si 1.83, 1 Ga 1.92
O 0.6991 0.1411 0.7741  1 Si 1.83, 1 Ga 1.92
O 0.5745 0.2412 0.2343  1 Si 1.82, 1 Ga 1.96
Si 0.3227 0.3227 0.0319  6 O 1.82-1.83
Ga 0.5281 0.5281 0.4158  6 O 1.96-2.15
Ga 0.0164 0.0164 0.9507  6 O 1.92-2.12
Mn 0.8029 0.8029 0.5914  3 O 2.08



## SmMn3Ga4O12 (PBE+U)

Data for crystalline SmMn3Ga4O12 at its relaxed geometry.

Raw total energy = -137.3 eV for the cell shown
Magnetization = 11.89 Bohr magnetons per cell
DOS(E_F) = 0.00 states/eV/cell

a b c (Å): 6.4790 6.4790 6.4790
angles (deg): 109.47 109.47 109.47
With the nearest neighbours (Å) after each atom.
Fractional positions:
O 0.8250 0.5189 0.6939  1 Mn 1.95, 2 Ga 2.00
O 0.8250 0.1312 0.3061  1 Mn 1.95, 2 Ga 2.00
O 0.5189 0.6939 0.8250  1 Mn 1.95, 2 Ga 2.00
O 0.4811 0.3061 0.1750  1 Mn 1.95, 2 Ga 2.00
O 0.1750 0.4811 0.3061  1 Mn 1.95, 2 Ga 2.00
O 0.3061 0.8250 0.1312  1 Mn 1.95, 2 Ga 2.00
O 0.8688 0.6939 0.1750  1 Mn 1.95, 2 Ga 2.00
O 0.6939 0.1750 0.8688  1 Mn 1.95, 2 Ga 2.00
O 0.6939 0.8250 0.5189  1 Mn 1.95, 2 Ga 2.00
O 0.1750 0.8688 0.6939  1 Mn 1.95, 2 Ga 2.00
O 0.3061 0.1750 0.4811  1 Mn 1.95, 2 Ga 2.00
O 0.1312 0.3061 0.8250  1 Mn 1.95, 2 Ga 2.00
Mn 0.0000 0.5000 0.5000  4 O 1.95
Mn 0.5000 0.5000 0.0000  4 O 1.95
Mn 0.5000 0.0000 0.5000  4 O 1.95
Ga 0.0000 0.5000 0.0000  6 O 2.00
Ga 0.5000 0.5000 0.5000  6 O 2.00
Ga 0.0000 0.0000 0.5000  6 O 2.00
Ga 0.5000 0.0000 0.0000  6 O 2.00
Sm 0.0000 0.0000 0.0000  12 O 2.64



## Mn2GaSnO6 (PBE+U)

Data for crystalline Mn2GaSnO6 at its relaxed geometry.

Raw total energy = -67.1 eV for the cell shown
Magnetization = 7.01 Bohr magnetons per cell

a b c (Å): 5.2427 5.2301 5.5924
angles (deg): 62.08 61.72 59.85
With the nearest neighbours (Å) after each atom.
Fractional positions:
Mn 0.0111 0.0121 0.9669  6 O 1.99-2.04
Mn 0.5310 0.5305 0.4095  6 O 2.11-2.33
Sn 0.8086 0.8089 0.5750  6 O 2.05-2.20
O 0.6152 0.1978 0.2398  1 Ga 1.98, 2 Mn 1.99-2.12, 1 Sn 2.20
O 0.9470 0.6145 0.2399  1 Ga 1.98, 2 Mn 2.00-2.11, 1 Sn 2.20
O 0.1068 0.4025 0.7663  1 Mn 2.01, 1 Sn 2.06, 1 Ga 2.11
O 0.7218 0.1119 0.7636  1 Mn 2.04, 1 Sn 2.05, 1 Ga 2.07
O 0.4024 0.7241 0.7633  1 Mn 2.02, 1 Sn 2.06, 1 Ga 2.10
O 0.1993 0.9457 0.2408  1 Ga 1.97, 2 Mn 2.01-2.11, 1 Sn 2.19
Ga 0.3185 0.3137 0.0502  6 O 1.97-2.11



## SrMn2GaO8 (PBE+U)

Data for crystalline SrMn2GaO8 at its relaxed geometry.

Raw total energy = -75.2 eV for the cell shown
Magnetization = 3.00 Bohr magnetons per cell
DOS(E_F) = 8.12 states/eV/cell

a b c (Å): 5.1878 5.1878 7.0874
angles (deg): 90.00 90.00 120.00
With the nearest neighbours (Å) after each atom.
Fractional positions:
O 0.6798 0.7400 0.6770  1 Mn 1.70
O 0.2600 0.9398 0.6770  1 Mn 1.70
O 0.6667 0.3333 0.0230  1 Mn 1.67
O 0.0602 0.3202 0.6770  1 Mn 1.70
O 0.7400 0.0602 0.3230  1 Mn 1.70
O 0.9398 0.6798 0.3230  1 Mn 1.70
O 0.3333 0.6667 0.9770  1 Mn 1.67
O 0.3202 0.2600 0.3230  1 Mn 1.70
Mn 0.6667 0.3333 0.2579  4 O 1.67-1.70
Mn 0.3333 0.6667 0.7421  4 O 1.67-1.70
Sr 0.0000 0.0000 0.0000  12 O 2.75-3.00
Ga 0.0000 0.0000 0.5000  6 O 1.98



## SrMn2GaO4 (PBE+U)

Data for crystalline SrMn2GaO4 at its relaxed geometry.

Raw total energy = -53.6 eV for the cell shown
Magnetization = 9.23 Bohr magnetons per cell
DOS(E_F) = 1.14 states/eV/cell

a b c (Å): 5.2671 5.2671 5.2671
angles (deg): 100.09 114.36 114.36
With the nearest neighbours (Å) after each atom.
Fractional positions:
Ga 0.0000 0.5000 0.5000  4 O 1.91
O 0.0000 0.1413 0.5160  1 Ga 1.91
O 0.6253 0.4840 0.4840  1 Ga 1.91
O 0.3747 0.8587 0.8587  1 Ga 1.91
O 0.0000 0.5160 0.1413  1 Ga 1.91
Sr 0.0000 0.0000 0.0000  8 O 2.69-2.78
Mn 0.5000 0.2500 0.7500  4 O 2.15
Mn 0.5000 0.7500 0.2500  4 O 2.15